Record 1
Material: Cd2AsAu
Method: DFT, PBE
State: optimized geometry

Lattice parameters (Å, degrees): 4.4236 4.4236 4.1641 90.00 90.00 90.00
Closest atoms and distances in Å follow each position.
Element x y z (fractional)
Cd  0.0000  0.5000  0.0000  4 As 3.04, 4 Au 3.04, 4 Cd 3.13
Cd  0.5000  0.0000  0.0000  4 As 3.04, 4 Au 3.04, 4 Cd 3.13
As  0.0000  0.0000  0.5000  8 Cd 3.04, 4 Au 3.13
Au  0.5000  0.5000  0.5000  8 Cd 3.04, 4 As 3.13

Output
Theoretical density   10.12 g/cm3
Energy of formation   0.03 eV/atom
Crystal system   tetragonal
Uncorrected energy   -9.6 eV/cell

***

Record 2
Material: CdAs2Au
Method: DFT, PBE
State: optimized geometry

Lattice parameters (Å, degrees): 10.6859 10.6859 10.6859 157.96 157.96 31.37
Closest atoms and distances in Å follow each position.
Element x y z (fractional)
Cd  0.0000  0.0000  0.0000  4 Au 2.89, 4 As 3.04
Cd  0.7500  0.2500  0.5000  4 Au 2.89, 4 As 3.04
As  0.1845  0.6250  0.0595  2 As 2.57, 2 Au 2.87
As  0.3750  0.4345  0.5595  2 As 2.57, 2 Au 2.87
As  0.5655  0.1250  0.9405  2 As 2.57, 2 Au 2.87
As  0.8750  0.8155  0.4405  2 As 2.57, 2 Au 2.87
Au  0.2500  0.7500  0.5000  4 As 2.87, 4 Cd 2.89
Au  0.5000  0.5000  0.0000  4 As 2.87, 4 Cd 2.89

Output
Theoretical density   8.88 g/cm3
Energy of formation   0.06 eV/atom
Crystal system   tetragonal
Uncorrected energy   -26.5 eV/cell

***

Record 3
Material: CdAs2Au
Method: DFT, PBE
State: optimized geometry

Lattice parameters (Å, degrees): 6.5572 6.5572 6.5572 35.87 35.87 35.87
Closest atoms and distances in Å follow each position.
Element x y z (fractional)
Cd  0.0000  0.0000  0.0000  6 As 2.93
As  0.2366  0.2366  0.2366  3 Au 2.66, 3 Cd 2.93
As  0.7634  0.7634  0.7634  3 Au 2.66, 3 Cd 2.93
Au  0.5000  0.5000  0.5000  6 As 2.66

Output
Theoretical density   8.81 g/cm3
Energy of formation   0.10 eV/atom
Crystal system   trigonal
Uncorrected energy   -13.1 eV/cell

***

Record 4
Material: CdAs2Au
Method: DFT, PBE
State: optimized geometry

Lattice parameters (Å, degrees): 3.6968 5.3113 4.4467 90.00 92.57 90.00
Closest atoms and distances in Å follow each position.
Element x y z (fractional)
Cd  0.0000  0.0000  0.0000  4 Au 2.83-2.95, 4 As 3.11
As  0.2413  0.5000  0.3111  2 As 2.49-2.50
As  0.7587  0.5000  0.6889  2 As 2.49-2.50
Au  0.5000  0.0000  0.5000  4 Cd 2.83-2.95, 4 As 2.93

Output
Theoretical density   8.74 g/cm3
Energy of formation   0.06 eV/atom
Crystal system   monoclinic
Uncorrected energy   -13.3 eV/cell

***

Question: The lowest energy of formation belongs to which entry?
Answer: Cd2AsAu

***

Question: Look up the theoretical density of the third one.
Answer: 8.81 g/cm3

***

Question: Which value of energy of formation does entry 1 give?
Answer: 0.03 eV/atom